A plane-wave DFT calculation with PBE-GGA was carried out for an optimized crystal structure of YMgAl.

```
9
Lattice="7.366 0.000 0.000 -3.683 6.379 0.000 0.000 0.000 4.552" Properties=species:S:1:pos:R:3 pbc="T T T"
Y -2.091 3.622 0.000
Y 1.592 2.758 0.000
Y 4.182 0.000 0.000
Mg -0.890 1.541 2.276
Mg 1.779 0.000 2.276
Mg 2.794 4.839 2.276
Al 0.000 0.000 0.000
Al 0.000 4.253 2.276
Al 3.683 2.126 2.276
```

Output
The calculation puts the volume at 213.9 Å³/cell. The value obtained for the total magnetization is 0.000 μB/atom. The calculation puts the total DFT energy (no corrections) at -4.270 eV per atom. Its energy above the most stable polymorph in this dataset is 0.00 eV per formula unit.